A plane-wave DFT calculation with PBE-GGA was carried out for ScW after structural relaxation.

Output
Energy relative to the lowest polymorph listed for this composition = 232.6 meV/atom
DFT formation energy = 63 kJ/mol of formula units
Total moment = 0.0 μB per formula unit

Cell and atoms, written as POSCAR:
```
ScW
1.0
-0.194 1.025 -2.569
4.487 -2.152 0.300
-2.195 -4.818 -1.757
Sc W
2 2
Direct
0.247 0.494 0.746
0.003 0.006 0.004
0.504 0.009 0.487
0.746 0.491 0.263
```